## a
An optimized crystal structure of Pm5Dy12Ho2, computed with PBE.

```
data_Pm5Dy12Ho2
_symmetry_space_group_name_H-M 'P 1'
_symmetry_Int_Tables_number 1
_symmetry_space_group_name_Hall 'P 1'
_cell_length_a 6.1787
_cell_length_b 9.4476
_cell_length_c 10.7010
_cell_angle_alpha 100.98
_cell_angle_beta 95.51
_cell_angle_gamma 90.07
loop_
_atom_site_label
_atom_site_type_symbol
_atom_site_fract_x
_atom_site_fract_y
_atom_site_fract_z
_atom_site_occupancy
Pm1 Pm 0.0000 0.0000 0.0000 1
Pm2 Pm 0.1579 0.6314 0.9466 1
Pm3 Pm 0.2633 0.0528 0.5788 1
Pm4 Pm 0.7367 0.9472 0.4212 1
Pm5 Pm 0.8421 0.3686 0.0534 1
Dy1 Dy 0.0535 0.2121 0.3168 1
Dy2 Dy 0.1048 0.4215 0.6306 1
Dy3 Dy 0.2106 0.8409 0.2634 1
Dy4 Dy 0.3169 0.2632 0.8949 1
Dy5 Dy 0.3691 0.4734 0.2120 1
Dy6 Dy 0.4743 0.8941 0.8414 1
Dy7 Dy 0.5257 0.1059 0.1586 1
Dy8 Dy 0.6309 0.5266 0.7880 1
Dy9 Dy 0.6831 0.7368 0.1051 1
Dy10 Dy 0.7894 0.1591 0.7366 1
Dy11 Dy 0.8952 0.5785 0.3694 1
Dy12 Dy 0.9465 0.7879 0.6832 1
Ho1 Ho 0.4203 0.6824 0.5263 1
Ho2 Ho 0.5797 0.3176 0.4737 1
```

## b
An optimized crystal structure of Pm5Dy12Ho2, computed with PBE.

```
data_Pm5Dy12Ho2
_symmetry_space_group_name_H-M 'P 1'
_symmetry_Int_Tables_number 1
_symmetry_space_group_name_Hall 'P 1'
_cell_length_a 9.9844
_cell_length_b 9.9844
_cell_length_c 8.6614
_cell_angle_alpha 112.76
_cell_angle_beta 112.76
_cell_angle_gamma 54.05
loop_
_atom_site_label
_atom_site_type_symbol
_atom_site_fract_x
_atom_site_fract_y
_atom_site_fract_z
_atom_site_occupancy
Pm1 Pm 0.0000 0.0000 0.0000 1
Pm2 Pm 0.2375 0.2375 0.7915 1
Pm3 Pm 0.2890 0.2890 0.2763 1
Pm4 Pm 0.7110 0.7110 0.7237 1
Pm5 Pm 0.7625 0.7625 0.2085 1
Dy1 Dy 0.0397 0.6691 0.5949 1
Dy2 Dy 0.0460 0.0460 0.6824 1
Dy3 Dy 0.1477 0.5969 0.0441 1
Dy4 Dy 0.3309 0.9603 0.4051 1
Dy5 Dy 0.4031 0.8523 0.9559 1
Dy6 Dy 0.4394 0.4394 0.7835 1
Dy7 Dy 0.5606 0.5606 0.2165 1
Dy8 Dy 0.5969 0.1477 0.0441 1
Dy9 Dy 0.6691 0.0397 0.5949 1
Dy10 Dy 0.8523 0.4031 0.9559 1
Dy11 Dy 0.9540 0.9540 0.3176 1
Dy12 Dy 0.9603 0.3309 0.4051 1
Ho1 Ho 0.3272 0.6728 0.5000 1
Ho2 Ho 0.6728 0.3272 0.5000 1
```

The winner here is a, beating the second structure by 19.1 kJ/mol of atoms.